Entry 1:
{
  "formula": "Nd3Sm6Dy2Ho",
  "functional": "PBE",
  "state": "optimized geometry",
  "cell": [[3.136, -5.431, 0.000], [3.136, 5.431, 0.000], [-2.092, 0.000, 11.806]],
  "species": ["Nd", "Nd", "Nd", "Sm", "Sm", "Sm", "Sm", "Sm", "Sm", "Dy", "Dy", "Ho"],
  "fractional_positions": [[0.000, 0.000, 0.000], [0.333, 0.667, 0.000], [0.667, 0.333, 0.000], [0.084, 0.418, 0.254], [0.249, 0.249, 0.746], [0.418, 0.084, 0.254], [0.582, 0.916, 0.746], [0.751, 0.751, 0.254], [0.916, 0.582, 0.746], [0.167, 0.833, 0.500], [0.833, 0.167, 0.500], [0.500, 0.500, 0.500]],
  "sg": "C2/m",
  "rho_g_cm3": 7.54,
  "vol_a3_per_fu": 402.1,
  "crystal_system": "monoclinic",
  "formation_enthalpy_0k_ev_per_atom": 0.02
}

***

Entry 2:
{
  "formula": "PrAl3Os",
  "functional": "PBE",
  "state": "optimized geometry",
  "cell": [[4.745, 0.000, 0.000], [0.000, 4.745, 0.000], [0.000, 0.000, 4.745]],
  "species": ["Pr", "Al", "Al", "Al", "Os"],
  "fractional_positions": [[0.000, 0.000, 0.000], [0.000, 0.500, 0.500], [0.500, 0.000, 0.500], [0.500, 0.500, 0.000], [0.500, 0.500, 0.500]],
  "sg": "Pm-3m",
  "rho_g_cm3": 6.40,
  "vol_a3_per_fu": 106.8,
  "crystal_system": "cubic",
  "formation_enthalpy_0k_ev_per_atom": -0.36
}

***

Entry 3:
{
  "formula": "K2NaCd3Sb4",
  "functional": "PBE",
  "state": "optimized geometry",
  "cell": [[5.023, 0.000, 0.000], [0.000, 5.023, 0.000], [0.000, 0.000, 12.347]],
  "species": ["K", "K", "Na", "Cd", "Cd", "Cd", "Sb", "Sb", "Sb", "Sb"],
  "fractional_positions": [[0.000, 0.500, 0.247], [0.500, 0.000, 0.753], [0.500, 0.500, 0.000], [0.000, 0.000, 0.000], [0.000, 0.500, 0.637], [0.500, 0.000, 0.363], [0.000, 0.000, 0.500], [0.000, 0.500, 0.863], [0.500, 0.000, 0.137], [0.500, 0.500, 0.500]],
  "sg": "P-4m2",
  "rho_g_cm3": 4.93,
  "vol_a3_per_fu": 311.6,
  "crystal_system": "tetragonal",
  "e_form_raw_ev_per_fu": -3.02
}

***

Entry 4:
{
  "formula": "Sr2Ca9Tl3",
  "functional": "PBE",
  "state": "optimized geometry",
  "cell": [[8.705, -4.859, 0.000], [8.705, 4.859, 0.000], [-5.901, 0.000, 12.370]],
  "species": ["Sr", "Sr", "Sr", "Sr", "Ca", "Ca", "Ca", "Ca", "Ca", "Ca", "Ca", "Ca", "Ca", "Ca", "Ca", "Ca", "Ca", "Ca", "Ca", "Ca", "Ca", "Ca", "Tl", "Tl", "Tl", "Tl", "Tl", "Tl"],
  "fractional_positions": [[0.111, 0.253, 0.251], [0.253, 0.111, 0.751], [0.747, 0.889, 0.249], [0.889, 0.747, 0.749], [0.000, 0.115, 0.919], [0.000, 0.885, 0.081], [0.115, 0.000, 0.419], [0.185, 0.365, 0.571], [0.203, 0.580, 0.250], [0.301, 0.500, 0.949], [0.316, 0.684, 0.750], [0.365, 0.185, 0.071], [0.420, 0.797, 0.250], [0.500, 0.301, 0.449], [0.500, 0.699, 0.551], [0.580, 0.203, 0.750], [0.635, 0.815, 0.929], [0.684, 0.316, 0.250], [0.699, 0.500, 0.051], [0.797, 0.420, 0.750], [0.815, 0.635, 0.429], [0.885, 0.000, 0.581], [0.000, 0.500, 0.000], [0.157, 0.656, 0.487], [0.344, 0.843, 0.013], [0.500, 0.000, 0.500], [0.656, 0.157, 0.987], [0.843, 0.344, 0.513]],
  "sg": "C2/c",
  "rho_g_cm3": 3.65,
  "vol_a3_per_fu": 523.2,
  "crystal_system": "monoclinic",
  "formation_enthalpy_0k_ev_per_atom": -0.21
}

***

Entry 5:
{
  "formula": "TmZrS2",
  "functional": "PBE",
  "state": "optimized geometry",
  "cell": [[3.640, 0.000, 0.000], [-1.820, 3.153, 0.000], [0.000, 0.000, 20.099]],
  "species": ["Tm", "Tm", "Tm", "Zr", "Zr", "Zr", "S", "S", "S", "S", "S", "S"],
  "fractional_positions": [[0.000, 0.000, 0.000], [0.333, 0.667, 0.667], [0.667, 0.333, 0.333], [0.000, 0.000, 0.174], [0.333, 0.667, 0.841], [0.667, 0.333, 0.508], [0.000, 0.000, 0.585], [0.000, 0.000, 0.757], [0.333, 0.667, 0.251], [0.333, 0.667, 0.424], [0.667, 0.333, 0.090], [0.667, 0.333, 0.918]],
  "sg": "R3m",
  "rho_g_cm3": 7.00,
  "vol_a3_per_fu": 76.9,
  "crystal_system": "trigonal",
  "e_form_raw_ev_per_fu": -6.51
}

***

Entry 6:
{
  "formula": "CaNd2VN4",
  "functional": "PBE",
  "state": "optimized geometry",
  "cell": [[1.746, -6.024, 0.000], [1.746, 6.024, 0.000], [0.000, 0.000, 12.306]],
  "species": ["Ca", "Ca", "Nd", "Nd", "Nd", "Nd", "V", "V", "N", "N", "N", "N", "N", "N", "N", "N"],
  "fractional_positions": [[0.103, 0.897, 0.750], [0.897, 0.103, 0.250], [0.369, 0.631, 0.541], [0.369, 0.631, 0.959], [0.631, 0.369, 0.041], [0.631, 0.369, 0.459], [0.176, 0.824, 0.250], [0.824, 0.176, 0.750], [0.000, 0.000, 0.000], [0.000, 0.000, 0.500], [0.266, 0.734, 0.134], [0.266, 0.734, 0.366], [0.403, 0.597, 0.750], [0.597, 0.403, 0.250], [0.734, 0.266, 0.634], [0.734, 0.266, 0.866]],
  "sg": "Cmcm",
  "rho_g_cm3": 5.59,
  "vol_a3_per_fu": 129.4,
  "crystal_system": "orthorhombic",
  "e_form_raw_ev_per_fu": -8.87
}

***

Entry 7:
{
  "formula": "Dy5GaRh4",
  "functional": "PBE",
  "state": "optimized geometry",
  "cell": [[3.473, 0.000, 0.000], [0.000, 3.473, 0.000], [0.000, 0.000, 17.158]],
  "species": ["Dy", "Dy", "Dy", "Dy", "Dy", "Ga", "Rh", "Rh", "Rh", "Rh"],
  "fractional_positions": [[0.000, 0.000, 0.000], [0.000, 0.000, 0.196], [0.000, 0.000, 0.391], [0.000, 0.000, 0.609], [0.000, 0.000, 0.804], [0.500, 0.500, 0.500], [0.500, 0.500, 0.098], [0.500, 0.500, 0.296], [0.500, 0.500, 0.704], [0.500, 0.500, 0.902]],
  "sg": "P4/mmm",
  "rho_g_cm3": 10.38,
  "vol_a3_per_fu": 206.9,
  "crystal_system": "tetragonal",
  "formation_enthalpy_0k_ev_per_atom": -0.81
}

***

Entry 8:
{
  "formula": "Hf6Co2Re",
  "functional": "PBE",
  "state": "optimized geometry",
  "cell": [[-4.267, 4.331, 4.522], [4.267, -4.331, 4.522], [4.267, 4.331, -4.522]],
  "species": ["Hf", "Hf", "Hf", "Hf", "Hf", "Hf", "Hf", "Hf", "Hf", "Hf", "Hf", "Hf", "Co", "Co", "Co", "Co", "Re", "Re"],
  "fractional_positions": [[0.041, 0.235, 0.806], [0.184, 0.292, 0.476], [0.184, 0.708, 0.892], [0.330, 0.037, 0.707], [0.330, 0.622, 0.293], [0.429, 0.235, 0.194], [0.571, 0.765, 0.806], [0.670, 0.378, 0.707], [0.670, 0.963, 0.293], [0.816, 0.292, 0.108], [0.816, 0.708, 0.524], [0.959, 0.765, 0.194], [0.136, 0.636, 0.500], [0.351, 0.000, 0.351], [0.649, 0.000, 0.649], [0.864, 0.364, 0.500], [0.000, 0.000, 0.000], [0.500, 0.500, 0.000]],
  "sg": "Immm",
  "rho_g_cm3": 13.66,
  "vol_a3_per_fu": 167.2,
  "crystal_system": "orthorhombic",
  "formation_enthalpy_0k_ev_per_atom": -0.28
}

***

Entry 9:
{
  "formula": "PmSbIr",
  "functional": "PBE",
  "state": "optimized geometry",
  "cell": [[6.686, 0.000, 0.000], [0.000, 6.686, 0.000], [0.000, 0.000, 6.686]],
  "species": ["Pm", "Pm", "Pm", "Pm", "Sb", "Sb", "Sb", "Sb", "Ir", "Ir", "Ir", "Ir"],
  "fractional_positions": [[0.000, 0.000, 0.000], [0.000, 0.500, 0.500], [0.500, 0.000, 0.500], [0.500, 0.500, 0.000], [0.000, 0.000, 0.500], [0.000, 0.500, 0.000], [0.500, 0.000, 0.000], [0.500, 0.500, 0.500], [0.250, 0.250, 0.250], [0.250, 0.750, 0.750], [0.750, 0.250, 0.750], [0.750, 0.750, 0.250]],
  "sg": "F-43m",
  "rho_g_cm3": 10.20,
  "vol_a3_per_fu": 74.7,
  "crystal_system": "cubic",
  "e_form_raw_ev_per_fu": -2.21
}

***

Entry 10:
{
  "formula": "HoInRh",
  "functional": "PBE",
  "state": "optimized geometry",
  "cell": [[6.577, 0.000, 0.000], [0.000, 6.577, 0.000], [0.000, 0.000, 6.577]],
  "species": ["Ho", "Ho", "Ho", "Ho", "In", "In", "In", "In", "Rh", "Rh", "Rh", "Rh"],
  "fractional_positions": [[0.000, 0.000, 0.000], [0.000, 0.500, 0.500], [0.500, 0.000, 0.500], [0.500, 0.500, 0.000], [0.000, 0.000, 0.500], [0.000, 0.500, 0.000], [0.500, 0.000, 0.000], [0.500, 0.500, 0.500], [0.250, 0.250, 0.250], [0.250, 0.750, 0.750], [0.750, 0.250, 0.750], [0.750, 0.750, 0.250]],
  "sg": "F-43m",
  "rho_g_cm3": 8.93,
  "vol_a3_per_fu": 71.1,
  "crystal_system": "cubic",
  "formation_enthalpy_0k_ev_per_atom": -0.62
}

***

Entry 11:
{
  "formula": "Ce2Ga4Ni3Ru",
  "functional": "PBE",
  "state": "optimized geometry",
  "cell": [[4.185, 0.000, 0.000], [0.000, 4.185, 0.000], [0.000, 0.000, 9.823]],
  "species": ["Ce", "Ce", "Ga", "Ga", "Ga", "Ga", "Ni", "Ni", "Ni", "Ru"],
  "fractional_positions": [[0.000, 0.500, 0.245], [0.500, 0.000, 0.755], [0.000, 0.000, 0.500], [0.000, 0.500, 0.868], [0.500, 0.000, 0.132], [0.500, 0.500, 0.500], [0.000, 0.000, 0.000], [0.000, 0.500, 0.627], [0.500, 0.000, 0.373], [0.500, 0.500, 0.000]],
  "sg": "P-4m2",
  "rho_g_cm3": 8.07,
  "vol_a3_per_fu": 172.0,
  "crystal_system": "tetragonal",
  "formation_enthalpy_0k_ev_per_atom": -0.53
}

***

Entry 12:
{
  "formula": "MgIn2P",
  "functional": "PBE",
  "state": "optimized geometry",
  "cell": [[7.130, 0.000, 0.000], [0.000, 7.130, 0.000], [0.000, 0.000, 7.130]],
  "species": ["Mg", "Mg", "Mg", "Mg", "In", "In", "In", "In", "In", "In", "In", "In", "P", "P", "P", "P"],
  "fractional_positions": [[0.000, 0.000, 0.000], [0.000, 0.500, 0.500], [0.500, 0.000, 0.500], [0.500, 0.500, 0.000], [0.000, 0.000, 0.500], [0.000, 0.500, 0.000], [0.250, 0.250, 0.250], [0.250, 0.750, 0.750], [0.500, 0.000, 0.000], [0.500, 0.500, 0.500], [0.750, 0.250, 0.750], [0.750, 0.750, 0.250], [0.250, 0.250, 0.750], [0.250, 0.750, 0.250], [0.750, 0.250, 0.250], [0.750, 0.750, 0.750]],
  "sg": "F-43m",
  "rho_g_cm3": 5.22,
  "vol_a3_per_fu": 90.6,
  "crystal_system": "cubic",
  "formation_enthalpy_0k_ev_per_atom": 0.15
}